Below is a relaxed CuAuN3 crystal, with properties calculated at the GGA-PBE level.

a = 4.0201 Å, b = 4.0201 Å, c = 4.0201 Å
α = 90.00°, β = 90.00°, γ = 90.00°
Atoms (fractional coordinates):
Cu  0.5000  0.5000  0.5000
N  0.5000  0.0000  0.0000
N  0.0000  0.5000  0.0000
N  0.0000  0.0000  0.5000
Au  0.0000  0.0000  0.0000

Summary:
Its uncorrected formation energy is 2715 meV per atom. For the magnetic moment, the calculation gives 0.0 μB/f.u. As for the space-group type: No. 221. The value obtained for the uncorrected energy is -3.755 eV/atom.